Compound: Na2PaCl6
Source: OQMD via LeMat-Bulk
Functional: PBE-GGA
Structure: relaxed

Computed properties:
SG: P4_2/mnm

Cell: 6.512 6.512 12.442 Å, 90.00 90.00 90.00°
Site moments in Bohr magnetons follow the coordinates.
Fractional positions:
Na: 0.500 0.500 0.165  0.00
Na: 0.000 0.000 0.665  0.00
Na: 0.000 0.000 0.335  0.00
Na: 0.500 0.500 0.835  0.00
Cl: 0.211 0.211 0.500  -0.01
Cl: 0.711 0.289 0.000  -0.01
Cl: 0.695 0.305 0.657  -0.01
Cl: 0.305 0.695 0.343  -0.01
Cl: 0.789 0.789 0.500  -0.01
Cl: 0.805 0.805 0.157  -0.01
Cl: 0.195 0.195 0.843  -0.01
Cl: 0.695 0.305 0.343  -0.01
Cl: 0.805 0.805 0.843  -0.01
Cl: 0.289 0.711 0.000  -0.01
Cl: 0.305 0.695 0.657  -0.01
Cl: 0.195 0.195 0.157  -0.01
Pa: 0.000 0.000 0.000  1.05
Pa: 0.500 0.500 0.500  1.04



Compound: SrHfMg
Source: OQMD via LeMat-Bulk
Functional: PBE-GGA
Structure: relaxed

Computed properties:
Energy above the lowest structure with this stoichiometry in eV per atom: 0.0000
SG: F-43m

Cell: 5.278 5.278 5.278 Å, 60.00 60.00 60.00°
Fractional positions:
Mg: 0.250 0.250 0.250
Sr: 0.750 0.750 0.750
Hf: 0.000 0.000 0.000



Compound: LiYNbIr
Source: OQMD via LeMat-Bulk
Functional: PBE-GGA
Structure: relaxed

Computed properties:
Energy above the lowest structure with this stoichiometry in eV per atom: 0.0769
SG: F-43m

Cell: 4.609 4.609 4.609 Å, 60.00 60.00 60.00°
Fractional positions:
Nb: 0.250 0.250 0.250
Ir: 0.500 0.500 0.500
Li: 0.750 0.750 0.750
Y: 0.000 0.000 0.000



Compound: GdErHg2
Source: OQMD via LeMat-Bulk
Functional: PBE-GGA
Structure: relaxed

Computed properties:
DFT formation energy in eV per atom: -0.48
Energy above the lowest structure with this stoichiometry in eV per atom: 0.0000
SG: Cmcm

Cell: 6.435 6.435 5.231 Å, 90.00 90.00 109.95°
Fractional positions:
Gd: 0.131 0.869 0.250
Gd: 0.869 0.131 0.750
Er: 0.374 0.626 0.750
Er: 0.626 0.374 0.250
Hg: 0.866 0.628 0.750
Hg: 0.372 0.134 0.750
Hg: 0.628 0.866 0.250
Hg: 0.134 0.372 0.250



Total energy across the listed records, respectively: -4.455; -3.261; -6.957; -2.933 eV/atom.
V across the listed records, respectively: 29.307; 34.662; 17.310; 25.449 A^3/atom.